(i)
VASP calculation (GGA+U) on an optimized crystal structure of Ga3CoO.

For the magnetization, the calculation gives 0.00 μB per formula unit. Its space group is No. 221.

Geometry as extended XYZ:
```
5
Lattice="4.4333 0.0000 0.0000 0.0000 4.4333 0.0000 0.0000 0.0000 4.4333" Properties=species:S:1:pos:R:3 pbc="T T T"
Ga 0.0000 0.0000 2.2167
Ga 0.0000 2.2167 0.0000
Ga 2.2167 0.0000 0.0000
Co 0.0000 0.0000 0.0000
O 2.2167 2.2167 2.2167
```

(ii)
VASP calculation (GGA+U) on an optimized crystal structure of Ga3CoO.

For the magnetization, the calculation gives 2.06 μB per formula unit. Its space group is No. 221.

Geometry as extended XYZ:
```
5
Lattice="4.3529 0.0000 0.0000 0.0000 4.3529 0.0000 0.0000 0.0000 4.3529" Properties=species:S:1:pos:R:3 pbc="T T T"
Ga 0.0000 0.0000 2.1764
Ga 0.0000 2.1764 0.0000
Ga 2.1764 0.0000 0.0000
Co 2.1764 2.1764 2.1764
O 0.0000 0.0000 0.0000
```

(ii) takes first place; second place is 183 meV/atom up.